No. 1
Compound: NaLi2HoI6
Source: Alexandria
Functional: PBE
Structure: relaxed

The uncorrected energy comes out at -3.166 eV per atom. Its density is 4.5 g/cm3. For the formation energy without anion corrections, the calculation gives -1.26 eV/atom.

It has space group R3 (No. 146, hexagonal axes), with a = 7.6611 Å, b = 7.6611 Å, c = 21.1655 Å, α = 90.00°, β = 90.00° and γ = 120.00°. The distinct sites, in fractional coordinates, are Na at (0.0000, 0.0000, 0.0000), Li at (0.0000, 0.0000, 0.3086), Li at (0.0000, 0.0000, 0.8124), Ho at (0.0000, 0.0000, 0.4916), I at (0.0016, 0.3273, 0.8991) and I at (0.0101, 0.6387, 0.0689).

=====

No. 2
Compound: Cs2KTaW
Source: Alexandria
Functional: PBE
Structure: relaxed

For the formation energy, the calculation gives 3.085 eV/atom. The uncorrected energy comes out at -2.437 eV per atom. Its density is 5.7 g/cm3.

It has space group P4/mmm (No. 123), with a = 5.848 Å, b = 5.848 Å, c = 5.739 Å, α = 90.00°, β = 90.00° and γ = 90.00°. The distinct sites, in fractional coordinates, are Cs at (0.000, 0.500, 0.000), K at (0.000, 0.000, 0.000), Ta at (0.500, 0.500, 0.500) and W at (0.000, 0.000, 0.500).

=====

No. 3
Compound: RbTaBr5
Source: Alexandria
Functional: PBE
Structure: relaxed

The uncorrected energy comes out at -4.083 eV per atom. Its density is 3.9 g/cm3. For the formation energy without anion corrections, the calculation gives -1.06 eV/atom.

It has space group C2/c (No. 15), with a = 14.847 Å, b = 7.818 Å, c = 10.321 Å, α = 90.00°, β = 110.56° and γ = 90.00°. The distinct sites, in fractional coordinates, are Rb at (0.000, 0.015, 0.250), Ta at (0.000, 0.500, 0.000), Br at (0.000, 0.428, 0.750), Br at (0.127, 0.265, 0.536) and Br at (0.133, 0.279, 0.097).

=====

No. 4
Compound: PmTmTh4
Source: Alexandria
Functional: PBE
Structure: relaxed

For the formation energy, the calculation gives 0.041 eV/atom. The uncorrected energy comes out at -6.443 eV per atom. Its density is 10.6 g/cm3.

It has space group P4/mmm (No. 123), with a = 3.581 Å, b = 3.581 Å, c = 15.104 Å, α = 90.00°, β = 90.00° and γ = 90.00°. The distinct sites, in fractional coordinates, are Pm at (0.000, 0.000, 0.000), Tm at (0.500, 0.500, 0.500), Th at (0.000, 0.000, 0.335) and Th at (0.500, 0.500, 0.173).